# 1
The following is a DFT calculation (GGA-PBE) of a geometry-optimized UPd6Rh2 structure.

abc: 12.4593 3.8756 6.3029
angles: 90.00 109.24 90.00
Space group C2/m (No. 12)
Asymmetric unit:
U: 0.0000 0.0000 0.0000 x2
Pd: 0.1094 0.0000 0.6564 x4
Pd: 0.1706 0.5000 0.9991 x4
Pd: 0.2247 0.0000 0.3367 x4
Rh: 0.0512 0.5000 0.3093 x4

Calculated values
Energy of formation (meV per atom): -332
Total DFT energy (no corrections) (eV per atom): -6.682

# 2
The following is a DFT calculation (GGA-PBE) of a geometry-optimized Ba5Tl4 structure.

abc: 11.3870 5.8329 12.2401
angles: 90.00 109.05 90.00
Space group C2/m (No. 12)
Asymmetric unit:
Ba: 0.0000 0.0000 0.0000 x2
Ba: 0.1040 0.0000 0.3998 x4
Ba: 0.2330 0.5000 0.1909 x4
Tl: 0.0990 0.5000 0.6224 x4
Tl: 0.1096 0.5000 0.8769 x4

Calculated values
Energy of formation (meV per atom): -331
Total DFT energy (no corrections) (eV per atom): -2.451
ΔE to the lowest computed polymorph (meV per atom): 0

# 3
The following is a DFT calculation (GGA-PBE) of a geometry-optimized Nd2Ta3Ge4 structure.

abc: 7.2512 7.2506 7.1576
angles: 90.00 109.43 90.00
Space group P2_1/c (No. 14)
Asymmetric unit:
Nd: 0.1853 0.1692 0.0580 x4
Ta: 0.2586 0.6705 0.2471 x4
Ta: 0.5000 0.0000 0.5000 x2
Ge: 0.0903 0.5430 0.8628 x4
Ge: 0.4952 0.1323 0.8661 x4

Calculated values
Energy of formation (meV per atom): -588
Total DFT energy (no corrections) (eV per atom): -7.650